No. 1
Entry from OQMD via LeMat-Bulk: a relaxed Y6GeIr2 crystal (GGA-PBE).

As for the space-group type: P-62m (189). Its total energy is -7.36 eV/atom.

The structure in POSCAR format:
```
Y6GeIr2
1.0
-3.779 6.022 -2.721
1.101 -6.110 -4.404
-3.869 -1.761 1.476
Ge Ir Y
1 2 6
direct
0.000 0.000 0.500
0.667 0.333 0.000
0.333 0.667 0.000
0.735 0.000 0.000
0.265 0.265 0.000
0.000 0.735 0.000
0.412 0.000 0.500
0.000 0.412 0.500
0.588 0.588 0.500
```



No. 2
Entry from OQMD via LeMat-Bulk: a relaxed DyMgNi crystal (GGA-PBE).

As for the space-group type: F-43m (216). Its total energy is -4.07 eV/atom.

The structure in POSCAR format:
```
DyMgNi
1.0
0.307 3.126 3.282
-2.968 3.436 0.149
-3.131 0.157 3.288
Dy Mg Ni
1 1 1
direct
0.250 0.250 0.250
0.750 0.750 0.750
0.000 0.000 0.000
```



No. 3
Entry from OQMD via LeMat-Bulk: a relaxed KInAuO crystal (GGA-PBE).

As for the space-group type: C2/m (12). The value obtained for the offset from the most stable computed form is 0.00 kJ/mol of atoms.

The structure in POSCAR format:
```
KInAuO
1.0
-4.312 0.372 -8.435
-1.004 -2.622 -9.056
-2.952 -3.750 2.358
Au In K O
2 2 2 2
direct
0.258 0.258 0.360
0.742 0.742 0.640
0.812 0.812 0.166
0.188 0.188 0.834
0.582 0.582 0.207
0.418 0.418 0.793
0.907 0.907 0.038
0.093 0.093 0.962
```



No. 4
Entry from OQMD via LeMat-Bulk: a relaxed TcAsNO crystal (GGA-PBE).

As for the space-group type: P4/nmm (129). The value obtained for the offset from the most stable computed form is 25.17 kJ/mol of atoms.

The structure in POSCAR format:
```
TcAsNO
1.0
-1.319 -0.274 -3.557
1.252 -3.586 -0.188
-6.115 -2.263 2.441
As N O Tc
2 2 2 2
direct
0.250 0.250 0.142
0.750 0.750 0.858
0.750 0.750 0.388
0.250 0.250 0.612
0.750 0.250 0.000
0.250 0.750 0.000
0.750 0.250 0.500
0.250 0.750 0.500
```